{"formula": "ErGaPb", "functional": "GGA-PBE", "state": "relaxed", "polymorph_energy_mev_per_atom": 0, "lattice_angstrom": [[2.2655, -7.8652, 0.0000], [2.2655, 7.8652, 0.0000], [0.0000, 0.0000, 4.2265]], "species": ["Er", "Er", "Ga", "Ga", "Pb", "Pb"], "frac_coords": [[0.0859, 0.9141, 0.7500], [0.9141, 0.0859, 0.2500], [0.4479, 0.5521, 0.7500], [0.5521, 0.4479, 0.2500], [0.2668, 0.7332, 0.2500], [0.7332, 0.2668, 0.7500]]}

=====

{"formula": "Tb4ErSc3S8", "functional": "GGA-PBE", "state": "relaxed", "formation_energy_uncorrected_ev_per_atom": -1.934, "lattice_angstrom": [[3.8272, 2.2096, 6.2900], [-3.8272, 2.2096, 6.2900], [0.0000, -4.4193, 6.2900]], "species": ["Tb", "Tb", "Tb", "Tb", "Er", "Sc", "Sc", "Sc", "S", "S", "S", "S", "S", "S", "S", "S"], "frac_coords": [[0.0000, 0.0000, 0.0000], [0.0000, 0.5000, 0.5000], [0.5000, 0.0000, 0.5000], [0.5000, 0.5000, 0.0000], [0.5000, 0.5000, 0.5000], [0.0000, 0.0000, 0.5000], [0.0000, 0.5000, 0.0000], [0.5000, 0.0000, 0.0000], [0.2395, 0.7481, 0.7481], [0.2438, 0.2438, 0.2438], [0.2519, 0.2519, 0.7605], [0.2519, 0.7605, 0.2519], [0.7481, 0.2395, 0.7481], [0.7481, 0.7481, 0.2395], [0.7562, 0.7562, 0.7562], [0.7605, 0.2519, 0.2519]]}

=====

{"formula": "Ac3PuPa2N6", "functional": "GGA-PBE", "state": "relaxed", "formation_energy_uncorrected_ev_per_atom": -1.338, "lattice_angstrom": [[8.0964, -1.8195, 0.0000], [8.0964, 1.8195, 0.0000], [-1.9226, 0.0000, 7.1720]], "species": ["Ac", "Ac", "Ac", "Pu", "Pa", "Pa", "N", "N", "N", "N", "N", "N"], "frac_coords": [[0.0000, 0.0000, 0.0000], [0.3345, 0.3345, 0.6644], [0.6655, 0.6655, 0.3356], [0.0000, 0.0000, 0.5000], [0.3341, 0.3341, 0.1703], [0.6659, 0.6659, 0.8297], [0.1589, 0.1589, 0.6221], [0.1792, 0.1792, 0.0468], [0.4836, 0.4836, 0.2739], [0.5164, 0.5164, 0.7261], [0.8208, 0.8208, 0.9532], [0.8411, 0.8411, 0.3779]]}

=====

{"formula": "TbVBr2", "functional": "GGA-PBE", "state": "relaxed", "formation_energy_uncorrected_ev_per_atom": -0.319, "lattice_angstrom": [[1.8772, 1.0838, 9.0621], [-1.8772, 1.0838, 9.0621], [0.0000, -2.1676, 9.0621]], "species": ["Tb", "V", "Br", "Br"], "frac_coords": [[0.0000, 0.0000, 0.0000], [0.5000, 0.5000, 0.5000], [0.1101, 0.1101, 0.1101], [0.8899, 0.8899, 0.8899]]}

=====

{"formula": "NbNi5Pt8", "functional": "GGA-PBE", "state": "relaxed", "total_energy_ev_per_atom": -6.2390, "lattice_angstrom": [[-3.7208, 3.7208, 3.7962], [3.7208, -3.7208, 3.7962], [3.7208, 3.7208, -3.7962]], "species": ["Nb", "Ni", "Ni", "Ni", "Ni", "Ni", "Pt", "Pt", "Pt", "Pt", "Pt", "Pt", "Pt", "Pt"], "frac_coords": [[0.0000, 0.0000, 0.0000], [0.0356, 0.4496, 0.8212], [0.2500, 0.7500, 0.5000], [0.5504, 0.3716, 0.5861], [0.6284, 0.2144, 0.1788], [0.7856, 0.9644, 0.4139], [0.1020, 0.3251, 0.4348], [0.2605, 0.1617, 0.7656], [0.3328, 0.8980, 0.2231], [0.3961, 0.4949, 0.2344], [0.5051, 0.7395, 0.9012], [0.6749, 0.1097, 0.7769], [0.8383, 0.6039, 0.0988], [0.8903, 0.6672, 0.5652]]}

=====

{"formula": "SnSe3Cl", "functional": "GGA-PBE", "state": "relaxed", "polymorph_energy_mev_per_atom": 0, "formation_energy_uncorrected_ev_per_atom": 0.519, "lattice_angstrom": [[5.0399, 0.0000, 0.0000], [0.0000, 5.0399, 0.0000], [0.0000, 0.0000, 5.0399]], "species": ["Sn", "Se", "Se", "Se", "Cl"], "frac_coords": [[0.0000, 0.0000, 0.0000], [0.0000, 0.5000, 0.5000], [0.5000, 0.0000, 0.5000], [0.5000, 0.5000, 0.0000], [0.5000, 0.5000, 0.5000]]}

=====

{"formula": "ScCd2Os", "functional": "GGA-PBE", "state": "relaxed", "polymorph_energy_mev_per_atom": 0, "lattice_angstrom": [[-2.0217, 2.0217, 4.4900], [2.0217, -2.0217, 4.4900], [2.0217, 2.0217, -4.4900]], "species": ["Sc", "Cd", "Cd", "Os"], "frac_coords": [[0.0000, 0.0000, 0.0000], [0.2500, 0.7500, 0.5000], [0.7500, 0.2500, 0.5000], [0.5000, 0.5000, 0.0000]]}

=====

{"formula": "MgRuC3", "functional": "GGA-PBE", "state": "relaxed", "polymorph_energy_mev_per_atom": 1443, "lattice_angstrom": [[3.9359, 0.0000, 0.0000], [0.0000, 3.9359, 0.0000], [0.0000, 0.0000, 3.9359]], "species": ["Mg", "Ru", "C", "C", "C"], "frac_coords": [[0.0000, 0.0000, 0.0000], [0.5000, 0.5000, 0.5000], [0.0000, 0.0000, 0.5000], [0.0000, 0.5000, 0.0000], [0.5000, 0.0000, 0.0000]]}

=====

{"formula": "Nb2CuPb3O9", "functional": "GGA-PBE", "state": "relaxed", "formation_energy_uncorrected_ev_per_atom": -1.664, "lattice_angstrom": [[5.7578, 0.0000, 0.0000], [-2.8789, 4.9864, 0.0000], [0.0000, 0.0000, 7.0848]], "species": ["Nb", "Nb", "Cu", "Pb", "Pb", "Pb", "O", "O", "O", "O", "O", "O", "O", "O", "O"], "frac_coords": [[0.3333, 0.6667, 0.1833], [0.6667, 0.3333, 0.8167], [0.0000, 0.0000, 0.5000], [0.0000, 0.0000, 0.0000], [0.3333, 0.6667, 0.6753], [0.6667, 0.3333, 0.3247], [0.0000, 0.5000, 0.0000], [0.1680, 0.3359, 0.3268], [0.1680, 0.8320, 0.3268], [0.3359, 0.1680, 0.6732], [0.5000, 0.0000, 0.0000], [0.5000, 0.5000, 0.0000], [0.6641, 0.8320, 0.3268], [0.8320, 0.1680, 0.6732], [0.8320, 0.6641, 0.6732]]}

=====

{"formula": "YCd2Ni", "functional": "GGA-PBE", "state": "relaxed", "total_energy_ev_per_atom": -3.6883, "lattice_angstrom": [[2.4299, 1.4029, 3.9713], [-2.4299, 1.4029, 3.9713], [0.0000, -2.8059, 3.9713]], "species": ["Y", "Cd", "Cd", "Ni"], "frac_coords": [[0.0000, 0.0000, 0.0000], [0.2498, 0.2498, 0.2498], [0.4999, 0.4999, 0.4999], [0.7503, 0.7503, 0.7503]]}

=====

{"formula": "Y4RuPb2", "functional": "GGA-PBE", "state": "relaxed", "total_energy_ev_per_atom": -6.3562, "lattice_angstrom": [[-2.5681, 2.5681, 8.2296], [2.5681, -2.5681, 8.2296], [2.5681, 2.5681, -8.2296]], "species": ["Y", "Y", "Y", "Y", "Ru", "Pb", "Pb"], "frac_coords": [[0.0000, 0.5000, 0.5000], [0.1722, 0.1722, 0.0000], [0.5000, 0.0000, 0.5000], [0.8278, 0.8278, 0.0000], [0.0000, 0.0000, 0.0000], [0.3614, 0.3614, 0.0000], [0.6386, 0.6386, 0.0000]]}

=====

{"formula": "ZrGe2Os", "functional": "GGA-PBE", "state": "relaxed", "total_energy_ev_per_atom": -7.5330, "lattice_angstrom": [[2.0952, 1.2097, 4.5149], [-2.0952, 1.2097, 4.5149], [0.0000, -2.4194, 4.5149]], "species": ["Zr", "Ge", "Ge", "Os"], "frac_coords": [[0.0000, 0.0000, 0.0000], [0.2263, 0.2263, 0.2263], [0.7737, 0.7737, 0.7737], [0.5000, 0.5000, 0.5000]]}

=====

{"formula": "Pm3AgSb", "functional": "GGA-PBE", "state": "relaxed", "formation_energy_uncorrected_ev_per_atom": -0.499, "lattice_angstrom": [[7.9389, -2.1192, 0.0000], [7.9389, 2.1192, 0.0000], [-0.2634, 0.0000, 8.9413]], "species": ["Pm", "Pm", "Pm", "Pm", "Pm", "Pm", "Ag", "Ag", "Sb", "Sb"], "frac_coords": [[0.0437, 0.0437, 0.1959], [0.2449, 0.2449, 0.8167], [0.4014, 0.4014, 0.4319], [0.5986, 0.5986, 0.5681], [0.7551, 0.7551, 0.1833], [0.9563, 0.9563, 0.8041], [0.2051, 0.2051, 0.4239], [0.7949, 0.7949, 0.5761], [0.3924, 0.3924, 0.0680], [0.6076, 0.6076, 0.9320]]}

=====

{"formula": "ZrGaHg", "functional": "GGA-PBE", "state": "relaxed", "polymorph_energy_mev_per_atom": 0, "lattice_angstrom": [[4.5674, 0.0000, 0.0000], [-2.2837, 3.9555, 0.0000], [0.0000, 0.0000, 3.2902]], "species": ["Zr", "Ga", "Hg"], "frac_coords": [[0.0000, 0.0000, 0.0000], [0.6667, 0.3333, 0.4699], [0.3333, 0.6667, 0.5220]]}

=====

{"formula": "Pu2ThCd", "functional": "GGA-PBE", "state": "relaxed", "polymorph_energy_mev_per_atom": 242, "lattice_angstrom": [[1.6912, 0.9764, 11.9550], [-1.6912, 0.9764, 11.9550], [0.0000, -1.9528, 11.9550]], "species": ["Pu", "Pu", "Th", "Cd"], "frac_coords": [[0.0902, 0.0902, 0.0902], [0.9098, 0.9098, 0.9098], [0.5000, 0.5000, 0.5000], [0.0000, 0.0000, 0.0000]]}

=====

Number 1: magnetic moment 0.0 μB per cell. Number 2: magnetic moment 0.0 μB per cell. Number 3: magnetic moment 4.7 μB per cell. Number 4: magnetic moment 3.8 μB per cell. Number 5: magnetic moment 3.5 μB per cell. Number 6: magnetic moment 0.0 μB per cell. Number 7: magnetic moment 0.0 μB per cell. Number 8: magnetic moment 0.0 μB per cell. Number 9: magnetic moment 1.0 μB per cell. Number 10: magnetic moment 0.0 μB per cell. Number 11: magnetic moment 0.0 μB per cell. Number 12: magnetic moment 0.0 μB per cell. Number 13: magnetic moment 0.0 μB per cell. Number 14: magnetic moment 0.0 μB per cell. Number 15: magnetic moment 11.5 μB per cell.